TbCeNiPd, relaxed, DFT PBE; volume = 21.332 A^3/atom; mass density = 9.0 g cm⁻³; DFT formation energy = -0.486 eV per atom
1.0
-2.1150 0.4093 4.4473
-2.0943 -3.9459 2.1126
2.1100 -2.1035 3.9425
Ni Tb Pd Ce
1 1 1 1
Cartesian
-0.5248 -1.4100 2.6256
0.0000 0.0000 0.0000
-1.5745 -4.2301 7.8768
-1.0497 -2.8201 5.2512


Te2RuSe, relaxed, DFT PBE; volume = 22.845 A^3/atom; mass density = 7.9 g cm⁻³; formation energy (no corrections) = 0.33 eV/atom
1.0
4.9214 -0.0135 -0.0227
-1.7665 4.5905 0.0336
1.3884 2.4069 4.0562
Ru Se Te
1 1 2
Cartesian
-0.1890 3.4987 2.0449
1.5775 2.2885 0.0055
0.0000 0.0000 0.0000
3.1549 1.1967 2.0168


CaCePtAu, relaxed, DFT PBE; relative energy among the computed polymorphs = 70 meV per atom; volume = 23.298 A^3/atom; mass density = 10.2 g cm⁻³; DFT formation energy = -0.827 eV per atom
1.0
-3.3326 -3.7818 -0.6994
1.5165 -4.8391 0.4254
-1.5304 -2.8074 3.9590
Ca Au Ce Pt
1 1 1 1
Cartesian
-1.6733 -5.7141 1.8425
-0.8366 -2.8571 0.9213
0.0000 0.0000 0.0000
-2.5099 -8.5712 2.7638


KSi2Sb, relaxed, DFT PBE; volume = 28.417 A^3/atom; mass density = 3.2 g cm⁻³; formation energy (no corrections) = 0.19 eV/atom
1.0
5.1280 -0.0089 0.0224
3.8294 3.4105 0.0224
1.4260 0.5415 6.4940
K Sb Si
1 1 2
Cartesian
7.7875 2.9573 4.9041
2.5958 0.9858 1.6347
9.0825 3.4491 0.8271
5.0665 1.9240 2.4871


Li2AcSn2Pb, relaxed, DFT PBE; volume = 27.701 A^3/atom; mass density = 6.8 g cm⁻³; DFT formation energy = -0.213 eV per atom
1.0
5.0055 0.0000 0.0000
0.0000 5.0055 0.0000
0.0000 0.0000 6.6335
Li Ac Sn Pb
2 1 2 1
Cartesian
2.5027 0.0000 0.0000
0.0000 2.5027 0.0000
0.0000 0.0000 3.3168
2.5027 2.5027 4.7850
2.5027 2.5027 1.8486
0.0000 0.0000 0.0000


MgF2, relaxed, DFT PBE; volume = 18.689 A^3/atom; mass density = 1.8 g cm⁻³; formation energy (no corrections) = -3.45 eV/atom
1.0
-0.5928 2.8450 -5.0638
-1.8621 -5.5081 -0.2608
-3.0703 2.4222 0.2044
F Mg
4 2
Cartesian
-2.8533 -0.4173 -0.4263
-2.6719 0.1764 -4.6938
-1.2274 -1.3315 -2.6623
0.0000 0.0000 0.0000
-4.4343 1.0789 -4.3364
-1.0909 -1.3198 -0.7838


Pu2TiRh3, relaxed, DFT PBE; volume = 20.021 A^3/atom; mass density = 11.7 g cm⁻³; DFT formation energy = -0.331 eV per atom
1.0
4.1889 0.0000 0.0000
0.0000 5.3212 0.0000
-2.0945 -2.6606 5.3893
Pu Ti Rh
2 1 3
Cartesian
2.0945 0.0000 1.8752
0.0000 2.6606 3.5142
0.0000 2.6606 0.0000
0.0000 0.0000 3.9453
0.0000 0.0000 0.0000
2.0945 2.6606 1.4441


LaTaTlAu2, relaxed, DFT PBE; volume = 28.185 A^3/atom; mass density = 10.8 g cm⁻³; DFT formation energy = 0.227 eV per atom
1.0
5.1282 0.0000 0.0000
0.0000 5.3588 0.0000
0.0000 0.0000 5.1282
Tl La Au Ta
1 1 2 1
Cartesian
0.0000 2.6794 0.0000
2.5641 2.6794 2.5641
0.0000 0.0000 2.5641
2.5641 0.0000 0.0000
0.0000 0.0000 0.0000


Sr2Ga2O, relaxed, DFT PBE; relative energy among the computed polymorphs = 0 meV per atom; volume = 27.002 A^3/atom; mass density = 4.1 g cm⁻³; formation energy (no corrections) = -0.85 eV/atom
1.0
6.9042 0.0000 0.0000
0.0000 6.9042 0.0000
0.0000 0.0000 5.6646
Sr O Ga
4 2 4
Cartesian
2.0378 5.4899 0.0000
5.4899 4.8665 0.0000
4.8665 1.4144 0.0000
1.4144 2.0378 0.0000
0.0000 0.0000 0.0000
3.4521 3.4521 0.0000
0.8674 4.3195 2.8323
4.3195 6.0368 2.8323
6.0368 2.5847 2.8323
2.5847 0.8674 2.8323


MgSnHg2Bi, relaxed, DFT PBE; relative energy among the computed polymorphs = 0 meV per atom; volume = 26.809 A^3/atom; mass density = 9.3 g cm⁻³; DFT formation energy = -0.026 eV per atom
1.0
-2.5565 -4.4573 -2.5812
0.5004 -2.7364 4.2295
-7.9268 1.5239 5.2194
Mg Sn Hg Bi
2 2 4 2
Cartesian
-6.9461 -3.1320 2.6803
-3.0368 -2.5378 4.1874
-7.7830 -2.1227 8.1713
-2.1999 -3.5471 -1.3035
-8.2304 -3.9878 5.4302
-1.7525 -1.6819 1.4376
-4.6348 -0.6646 2.5355
-5.3481 -5.0051 4.3322
-3.8403 -4.3372 1.6854
-6.1426 -1.3325 5.1823


TaTcAuC2, relaxed, DFT PBE; volume = 16.774 A^3/atom; mass density = 9.9 g cm⁻³; DFT formation energy = 2.701 eV per atom
1.0
3.8974 0.0000 0.0000
0.0000 5.5214 0.0000
0.0000 0.0000 3.8974
C Au Tc Ta
2 1 1 1
Cartesian
0.0000 0.0000 1.9487
1.9487 0.0000 0.0000
0.0000 0.0000 0.0000
1.9487 2.7607 1.9487
0.0000 2.7607 0.0000


Th2ZnGeRh6, relaxed, DFT PBE; volume = 18.181 A^3/atom; mass density = 11.1 g cm⁻³; DFT formation energy = -0.635 eV per atom
1.0
5.5557 0.0200 0.0206
-0.0291 8.5017 0.1198
2.7426 4.1547 3.9178
Th Zn Ge Rh
2 1 1 6
Cartesian
2.7394 8.3814 2.0858
5.5297 4.2951 1.9723
2.7633 4.2609 0.0702
0.0000 0.0000 0.0000
1.3719 6.4206 0.5019
4.1394 6.4314 0.5103
2.7610 2.5513 1.9653
6.8972 6.2559 3.5562
4.1297 6.2451 3.5478
5.5081 10.1251 2.0928